No. 1
{"formula": "KNaZnAg2", "functional": "PBE-GGA", "state": "optimized geometry", "magmom_total_mub_per_fu": 0.00, "delta_e_f_ev_per_fu": 0.6, "dos_ef_per_ev_fu": 2.03, "cell": [[5.1290, 0.0000, 0.0000], [0.0000, 5.1290, 0.0000], [0.0000, 0.0000, 5.4034]], "species": ["K", "Na", "Zn", "Ag", "Ag"], "fractional_positions": [[0.0000, 0.0000, 0.0000], [0.5000, 0.5000, 0.0000], [0.5000, 0.5000, 0.5000], [0.0000, 0.5000, 0.5000], [0.5000, 0.0000, 0.5000]]}

No. 2
{"formula": "HfVCo4", "functional": "PBE-GGA", "state": "optimized geometry", "magmom_total_mub_per_fu": 1.48, "delta_e_f_ev_per_fu": -1.1, "dos_ef_per_ev_fu": 9.42, "polymorph_energy_kj_per_mol_fu": 0.0, "cell": [[0.0000, 3.3615, 3.3615], [3.3615, 0.0000, 3.3615], [3.3615, 3.3615, 0.0000]], "species": ["Hf", "V", "Co", "Co", "Co", "Co"], "fractional_positions": [[0.0000, 0.0000, 0.0000], [0.7500, 0.7500, 0.7500], [0.3752, 0.3752, 0.3752], [0.3752, 0.3752, 0.8743], [0.3752, 0.8743, 0.3752], [0.8743, 0.3752, 0.3752]]}

No. 3
{"formula": "ZnGeBiO2", "functional": "PBE-GGA", "state": "optimized geometry", "magmom_total_mub_per_fu": 0.00, "raw_formation_energy_ev_per_atom": -0.2307, "dos_ef_per_ev_fu": 2.23, "cell": [[3.9480, 0.0000, 0.0000], [0.0000, 3.9480, 0.0000], [0.0000, 0.0000, 5.1039]], "species": ["Zn", "Ge", "Bi", "O", "O"], "fractional_positions": [[0.0000, 0.0000, 0.0000], [0.0000, 0.0000, 0.5000], [0.5000, 0.5000, 0.0000], [0.0000, 0.5000, 0.5000], [0.5000, 0.0000, 0.5000]]}

No. 4
{"formula": "Y7RhSe5", "functional": "PBE-GGA", "state": "optimized geometry", "magmom_total_mub_per_fu": 0.00, "raw_formation_energy_ev_per_atom": -1.5005, "dos_ef_per_ev_fu": 6.07, "cell": [[1.9799, -6.7242, 0.0000], [1.9799, 6.7242, 0.0000], [0.0000, 0.0000, 24.4521]], "species": ["Y", "Y", "Y", "Y", "Y", "Y", "Y", "Y", "Y", "Y", "Y", "Y", "Y", "Y", "Rh", "Rh", "Se", "Se", "Se", "Se", "Se", "Se", "Se", "Se", "Se", "Se"], "fractional_positions": [[0.0441, 0.9559, 0.5000], [0.1393, 0.8607, 0.2125], [0.1402, 0.8598, 0.7878], [0.2948, 0.7052, 0.4314], [0.2957, 0.7043, 0.5686], [0.4100, 0.5900, 0.1326], [0.4115, 0.5885, 0.8666], [0.5885, 0.4115, 0.3666], [0.5900, 0.4100, 0.6326], [0.7043, 0.2957, 0.0686], [0.7052, 0.2948, 0.9314], [0.8598, 0.1402, 0.2878], [0.8607, 0.1393, 0.7125], [0.9559, 0.0441, 0.0000], [0.3094, 0.6906, 0.0007], [0.6906, 0.3094, 0.5007], [0.0569, 0.9431, 0.1061], [0.0576, 0.9424, 0.8941], [0.2199, 0.7801, 0.3214], [0.2207, 0.7793, 0.6787], [0.4994, 0.5006, 0.2499], [0.5006, 0.4994, 0.7499], [0.7793, 0.2207, 0.1787], [0.7801, 0.2199, 0.8214], [0.9424, 0.0576, 0.3941], [0.9431, 0.0569, 0.6061]]}

No. 5
{"formula": "Nd3Cd2Au", "functional": "PBE-GGA", "state": "optimized geometry", "magmom_total_mub_per_fu": 0.04, "delta_e_f_ev_per_fu": -2.8, "dos_ef_per_ev_fu": 6.01, "polymorph_energy_kj_per_mol_fu": 0.0, "cell": [[3.7990, 0.0000, 0.0000], [0.0000, 3.7990, 0.0000], [0.0000, 0.0000, 11.4744]], "species": ["Nd", "Nd", "Nd", "Cd", "Cd", "Au"], "fractional_positions": [[0.0000, 0.0000, 0.0000], [0.0000, 0.0000, 0.3447], [0.0000, 0.0000, 0.6553], [0.5000, 0.5000, 0.1668], [0.5000, 0.5000, 0.8332], [0.5000, 0.5000, 0.5000]]}

No. 6
{"formula": "CaAgTe2", "functional": "PBE-GGA", "state": "optimized geometry", "magmom_total_mub_per_fu": 0.00, "raw_formation_energy_ev_per_atom": -0.5278, "dos_ef_per_ev_fu": 1.94, "cell": [[2.4902, -3.0806, 0.0000], [2.4902, 3.0806, 0.0000], [0.0000, 0.0000, 7.3205]], "species": ["Ca", "Ag", "Te", "Te"], "fractional_positions": [[0.0000, 0.0000, 0.0000], [0.0000, 0.0000, 0.5000], [0.5000, 0.5000, 0.2561], [0.5000, 0.5000, 0.7439]]}

No. 7
{"formula": "NaHoSc", "functional": "PBE-GGA", "state": "optimized geometry", "magmom_total_mub_per_fu": 0.00, "delta_e_f_ev_per_fu": 1.3, "dos_ef_per_ev_fu": 4.34, "polymorph_energy_kj_per_mol_fu": 67.2, "cell": [[4.0477, 0.0000, 0.0000], [0.0000, 4.0477, 0.0000], [0.0000, 0.0000, 11.8637]], "species": ["Na", "Na", "Ho", "Ho", "Sc", "Sc"], "fractional_positions": [[0.2500, 0.2500, 0.0806], [0.7500, 0.7500, 0.9194], [0.2500, 0.2500, 0.7235], [0.7500, 0.7500, 0.2765], [0.2500, 0.7500, 0.5000], [0.7500, 0.2500, 0.5000]]}

No. 8
{"formula": "Tl3TeCl7", "functional": "PBE-GGA", "state": "optimized geometry", "magmom_total_mub_per_fu": 0.00, "raw_formation_energy_ev_per_atom": -0.8373, "dos_ef_per_ev_fu": 0.00, "cell": [[5.5232, -4.9335, 0.0000], [5.5232, 4.9335, 0.0000], [-4.2890, 0.0000, 7.2448]], "species": ["Tl", "Tl", "Tl", "Te", "Cl", "Cl", "Cl", "Cl", "Cl", "Cl", "Cl"], "fractional_positions": [[0.0000, 0.0000, 0.0000], [0.2807, 0.7360, 0.5410], [0.7360, 0.2807, 0.5410], [0.4969, 0.4969, 0.0202], [0.1626, 0.5356, 0.7814], [0.3352, 0.3352, 0.1536], [0.4532, 0.8302, 0.2447], [0.5356, 0.1626, 0.7814], [0.6659, 0.6659, 0.8907], [0.8302, 0.4532, 0.2447], [0.9766, 0.9766, 0.6440]]}

No. 9
{"formula": "NaAcPd", "functional": "PBE-GGA", "state": "optimized geometry", "magmom_total_mub_per_fu": 0.00, "delta_e_f_ev_per_fu": -0.8, "dos_ef_per_ev_fu": 0.75, "polymorph_energy_kj_per_mol_fu": 52.9, "cell": [[-1.8935, 1.8935, 6.4375], [1.8935, -1.8935, 6.4375], [1.8935, 1.8935, -6.4375]], "species": ["Na", "Ac", "Pd"], "fractional_positions": [[0.0000, 0.0000, 0.0000], [0.2674, 0.2674, 0.0000], [0.6481, 0.6481, 0.0000]]}

No. 10
{"formula": "Na2TlAsI", "functional": "PBE-GGA", "state": "optimized geometry", "magmom_total_mub_per_fu": 0.00, "raw_formation_energy_ev_per_atom": -0.5225, "dos_ef_per_ev_fu": 1.61, "cell": [[5.7199, 0.0000, 0.0000], [0.0000, 5.7199, 0.0000], [0.0000, 0.0000, 5.4025]], "species": ["Na", "Na", "Tl", "As", "I"], "fractional_positions": [[0.0000, 0.5000, 0.0000], [0.5000, 0.0000, 0.0000], [0.0000, 0.0000, 0.5000], [0.0000, 0.0000, 0.0000], [0.5000, 0.5000, 0.5000]]}

No. 11
{"formula": "Hf2CoAs", "functional": "PBE-GGA", "state": "optimized geometry", "magmom_total_mub_per_fu": 1.37, "delta_e_f_ev_per_fu": -1.1, "dos_ef_per_ev_fu": 4.86, "cell": [[0.0000, 3.2561, 3.2561], [3.2561, 0.0000, 3.2561], [3.2561, 3.2561, 0.0000]], "species": ["Hf", "Hf", "Co", "As"], "fractional_positions": [[0.2500, 0.2500, 0.2500], [0.7500, 0.7500, 0.7500], [0.0000, 0.0000, 0.0000], [0.5000, 0.5000, 0.5000]]}

No. 12
{"formula": "KSrBeSe2", "functional": "PBE-GGA", "state": "optimized geometry", "magmom_total_mub_per_fu": 0.80, "raw_formation_energy_ev_per_atom": -0.8972, "dos_ef_per_ev_fu": 2.45, "cell": [[7.6926, 0.0000, 0.0000], [0.0000, 4.8507, 0.0000], [-1.7882, 0.0000, 8.7193]], "species": ["K", "K", "Sr", "Sr", "Be", "Be", "Se", "Se", "Se", "Se"], "fractional_positions": [[0.0000, 0.2106, 0.2500], [0.0000, 0.7894, 0.7500], [0.5000, 0.4835, 0.7500], [0.5000, 0.5165, 0.2500], [0.5000, 0.0000, 0.0000], [0.5000, 0.0000, 0.5000], [0.2696, 0.2412, 0.9658], [0.2696, 0.7588, 0.4658], [0.7304, 0.2412, 0.5342], [0.7304, 0.7588, 0.0342]]}

No. 13
{"formula": "HfV2CrPb", "functional": "PBE-GGA", "state": "optimized geometry", "magmom_total_mub_per_fu": 0.05, "delta_e_f_ev_per_fu": 7.4, "dos_ef_per_ev_fu": 6.05, "cell": [[4.7948, 0.0000, 0.0000], [0.0000, 4.7948, 0.0000], [0.0000, 0.0000, 4.8119]], "species": ["Hf", "V", "V", "Cr", "Pb"], "fractional_positions": [[0.0000, 0.0000, 0.0000], [0.0000, 0.5000, 0.0000], [0.5000, 0.0000, 0.0000], [0.0000, 0.0000, 0.5000], [0.5000, 0.5000, 0.5000]]}

No. 14
{"formula": "Cs3RbAu", "functional": "PBE-GGA", "state": "optimized geometry", "magmom_total_mub_per_fu": 0.00, "delta_e_f_ev_per_fu": -0.6, "dos_ef_per_ev_fu": 6.25, "polymorph_energy_kj_per_mol_fu": 17.3, "cell": [[4.8857, 2.8207, 9.4809], [-4.8857, 2.8207, 9.4809], [0.0000, -5.6415, 9.4809]], "species": ["Cs", "Cs", "Cs", "Cs", "Cs", "Cs", "Rb", "Rb", "Au", "Au"], "fractional_positions": [[0.1194, 0.8112, 0.3869], [0.1888, 0.6131, 0.8806], [0.3869, 0.1194, 0.8112], [0.6131, 0.8806, 0.1888], [0.8112, 0.3869, 0.1194], [0.8806, 0.1888, 0.6131], [0.3199, 0.3199, 0.3199], [0.6801, 0.6801, 0.6801], [0.1914, 0.1914, 0.1914], [0.8086, 0.8086, 0.8086]]}

No. 15
{"formula": "SmCdPb3", "functional": "PBE-GGA", "state": "optimized geometry", "magmom_total_mub_per_fu": 0.00, "delta_e_f_ev_per_fu": -0.4, "dos_ef_per_ev_fu": 2.61, "polymorph_energy_kj_per_mol_fu": 53.2, "cell": [[4.4374, 0.0000, 0.0000], [0.0000, 6.6979, 0.0000], [0.0000, 0.0000, 10.5803]], "species": ["Sm", "Sm", "Cd", "Cd", "Pb", "Pb", "Pb", "Pb", "Pb", "Pb"], "fractional_positions": [[0.2500, 0.2500, 0.0953], [0.7500, 0.7500, 0.9047], [0.2500, 0.7500, 0.4516], [0.7500, 0.2500, 0.5484], [0.2500, 0.5024, 0.7085], [0.2500, 0.7500, 0.1200], [0.2500, 0.9976, 0.7085], [0.7500, 0.0024, 0.2915], [0.7500, 0.2500, 0.8800], [0.7500, 0.4976, 0.2915]]}

No. 16
{"formula": "Ac5Ge2N", "functional": "PBE-GGA", "state": "optimized geometry", "magmom_total_mub_per_fu": 0.28, "raw_formation_energy_ev_per_atom": -0.6339, "dos_ef_per_ev_fu": 6.64, "polymorph_energy_kj_per_mol_fu": 0.0, "cell": [[8.7516, -3.5391, 0.0000], [8.7516, 3.5391, 0.0000], [-1.0180, 0.0000, 8.3092]], "species": ["Ac", "Ac", "Ac", "Ac", "Ac", "Ac", "Ac", "Ac", "Ac", "Ac", "Ge", "Ge", "Ge", "Ge", "N", "N"], "fractional_positions": [[0.0963, 0.9037, 0.7500], [0.1237, 0.3111, 0.2846], [0.2651, 0.5155, 0.0664], [0.3111, 0.1237, 0.7846], [0.4845, 0.7349, 0.4336], [0.5155, 0.2651, 0.5664], [0.6889, 0.8763, 0.2154], [0.7349, 0.4845, 0.9336], [0.8763, 0.6889, 0.7154], [0.9037, 0.0963, 0.2500], [0.0918, 0.6989, 0.4204], [0.3011, 0.9082, 0.0796], [0.6989, 0.0918, 0.9204], [0.9082, 0.3011, 0.5796], [0.0000, 0.5000, 0.0000], [0.5000, 0.0000, 0.5000]]}

No. 17
{"formula": "CaTb8Ho5", "functional": "PBE-GGA", "state": "optimized geometry", "magmom_total_mub_per_fu": 0.00, "delta_e_f_ev_per_fu": 3.4, "dos_ef_per_ev_fu": 21.34, "cell": [[-4.8045, 4.8045, 5.0797], [4.8045, -4.8045, 5.0797], [4.8045, 4.8045, -5.0797]], "species": ["Ca", "Tb", "Tb", "Tb", "Tb", "Tb", "Tb", "Tb", "Tb", "Ho", "Ho", "Ho", "Ho", "Ho"], "fractional_positions": [[0.0000, 0.0000, 0.0000], [0.0894, 0.3282, 0.4229], [0.1748, 0.4213, 0.8956], [0.3334, 0.9106, 0.2388], [0.5257, 0.2792, 0.1044], [0.5787, 0.4743, 0.7535], [0.6718, 0.0946, 0.7612], [0.7208, 0.8252, 0.2465], [0.9054, 0.6666, 0.5771], [0.2130, 0.0312, 0.5958], [0.3828, 0.7870, 0.8182], [0.4354, 0.6172, 0.4042], [0.7500, 0.2500, 0.5000], [0.9688, 0.5646, 0.1818]]}

No. 18
{"formula": "Ba2PdBr", "functional": "PBE-GGA", "state": "optimized geometry", "magmom_total_mub_per_fu": 0.00, "raw_formation_energy_ev_per_atom": -1.1214, "dos_ef_per_ev_fu": 2.60, "polymorph_energy_kj_per_mol_fu": 0.0, "cell": [[2.2972, 1.3263, 8.4020], [-2.2972, 1.3263, 8.4020], [0.0000, -2.6526, 8.4020]], "species": ["Ba", "Ba", "Pd", "Br"], "fractional_positions": [[0.2385, 0.2385, 0.2385], [0.7615, 0.7615, 0.7615], [0.5000, 0.5000, 0.5000], [0.0000, 0.0000, 0.0000]]}

No. 19
{"formula": "NaNdPu2O8", "functional": "PBE-GGA", "state": "optimized geometry", "magmom_total_mub_per_fu": 4.00, "raw_formation_energy_ev_per_atom": -2.2100, "dos_ef_per_ev_fu": 16.45, "cell": [[-3.7878, 3.7878, 3.6688], [3.7878, -3.7878, 3.6688], [3.7878, 3.7878, -3.6688]], "species": ["Na", "Nd", "Pu", "Pu", "O", "O", "O", "O", "O", "O", "O", "O"], "fractional_positions": [[0.0000, 0.0000, 0.0000], [0.7500, 0.2500, 0.5000], [0.2500, 0.7500, 0.5000], [0.5000, 0.5000, 0.0000], [0.0491, 0.3801, 0.3310], [0.0491, 0.7180, 0.6690], [0.1271, 0.3160, 0.8111], [0.2820, 0.9509, 0.3310], [0.5049, 0.3160, 0.1889], [0.6199, 0.9509, 0.6690], [0.6840, 0.4951, 0.8111], [0.6840, 0.8729, 0.1889]]}

No. 20
{"formula": "Cs3SmDy2S6", "functional": "PBE-GGA", "state": "optimized geometry", "magmom_total_mub_per_fu": 0.00, "raw_formation_energy_ev_per_atom": -1.8282, "dos_ef_per_ev_fu": 0.00, "cell": [[3.5827, -6.2044, 0.0000], [3.5827, 6.2044, 0.0000], [-2.3905, 0.0000, 8.0736]], "species": ["Cs", "Cs", "Cs", "Sm", "Dy", "Dy", "S", "S", "S", "S", "S", "S"], "fractional_positions": [[0.0000, 0.0000, 0.0000], [0.3340, 0.6660, 0.0000], [0.6660, 0.3340, 0.0000], [0.5000, 0.5000, 0.5000], [0.1667, 0.8333, 0.5000], [0.8333, 0.1667, 0.5000], [0.1005, 0.4391, 0.3174], [0.2221, 0.2221, 0.6824], [0.4391, 0.1005, 0.3174], [0.5609, 0.8995, 0.6826], [0.7779, 0.7779, 0.3176], [0.8995, 0.5609, 0.6826]]}

No. 21
{"formula": "ZrS2O", "functional": "PBE-GGA", "state": "optimized geometry", "magmom_total_mub_per_fu": 0.00, "raw_formation_energy_ev_per_atom": -0.8434, "dos_ef_per_ev_fu": 0.30, "polymorph_energy_kj_per_mol_fu": 0.0, "cell": [[1.8323, 1.0579, 6.5244], [-1.8323, 1.0579, 6.5244], [0.0000, -2.1158, 6.5244]], "species": ["Zr", "S", "S", "O"], "fractional_positions": [[0.0000, 0.0000, 0.0000], [0.4090, 0.4090, 0.4090], [0.5910, 0.5910, 0.5910], [0.5000, 0.5000, 0.5000]]}

No. 22
{"formula": "CaSeS", "functional": "PBE-GGA", "state": "optimized geometry", "magmom_total_mub_per_fu": 0.00, "raw_formation_energy_ev_per_atom": -1.2609, "dos_ef_per_ev_fu": 0.00, "polymorph_energy_kj_per_mol_fu": 3.0, "cell": [[4.3990, 0.0000, 0.0000], [0.0027, 5.3810, 0.0000], [0.0376, 0.0003, 6.9475]], "species": ["Ca", "Ca", "Se", "Se", "S", "S"], "fractional_positions": [[0.0000, 0.0000, 0.0000], [0.4938, 0.4446, 0.5001], [0.4986, 0.6381, 0.0976], [0.9918, 0.8067, 0.5977], [0.5011, 0.3080, 0.8960], [0.9953, 0.1369, 0.3959]]}

No. 23
{"formula": "InOs2Cl", "functional": "PBE-GGA", "state": "optimized geometry", "magmom_total_mub_per_fu": 0.00, "raw_formation_energy_ev_per_atom": 0.2652, "dos_ef_per_ev_fu": 2.62, "polymorph_energy_kj_per_mol_fu": 0.0, "cell": [[2.9357, 0.0000, 0.0000], [0.0000, 2.9176, 0.0000], [-0.9750, 0.0000, 9.0028]], "species": ["In", "Os", "Os", "Cl"], "fractional_positions": [[0.0000, 0.0000, 0.0000], [0.4185, 0.5000, 0.7541], [0.8606, 0.0000, 0.5809], [0.7895, 0.5000, 0.3650]]}

No. 24
{"formula": "TaGeC2", "functional": "PBE-GGA", "state": "optimized geometry", "magmom_total_mub_per_fu": 0.00, "delta_e_f_ev_per_fu": 2.1, "dos_ef_per_ev_fu": 2.18, "cell": [[-2.4238, 2.4238, 4.6141], [2.4238, -2.4238, 4.6141], [2.4238, 2.4238, -4.6141]], "species": ["Ta", "Ta", "Ge", "Ge", "C", "C", "C", "C"], "fractional_positions": [[0.0000, 0.0000, 0.0000], [0.7500, 0.2500, 0.5000], [0.2500, 0.7500, 0.5000], [0.5000, 0.5000, 0.0000], [0.1354, 0.6250, 0.0104], [0.3750, 0.3854, 0.5104], [0.6146, 0.1250, 0.9896], [0.8750, 0.8646, 0.4896]]}

No. 25
{"formula": "NaPr2Sc", "functional": "PBE-GGA", "state": "optimized geometry", "magmom_total_mub_per_fu": 0.00, "delta_e_f_ev_per_fu": 0.6, "dos_ef_per_ev_fu": 4.76, "polymorph_energy_kj_per_mol_fu": 5.5, "cell": [[1.7595, 1.0158, 12.6422], [-1.7595, 1.0158, 12.6422], [0.0000, -2.0317, 12.6422]], "species": ["Na", "Pr", "Pr", "Sc"], "fractional_positions": [[0.0000, 0.0000, 0.0000], [0.0945, 0.0945, 0.0945], [0.9055, 0.9055, 0.9055], [0.5000, 0.5000, 0.5000]]}